[1]
This record from Alexandria describes crystalline La3Dy3ScTe8 at its relaxed geometry. The functional is PBE.

ΔE_f (raw): -1.438 eV per atom
DOS at the Fermi energy: 8.3 states/eV/cell
Symmetry: R-3m, No. 166

Lattice parameters (Å, degrees): 8.935 8.935 8.935 59.14 59.14 59.14
Atoms (fractional coordinates):
La (0.000, 0.500, 0.500)
La (0.500, 0.000, 0.500)
La (0.500, 0.500, 0.000)
Dy (0.000, 0.000, 0.500)
Dy (0.000, 0.500, 0.000)
Dy (0.500, 0.000, 0.000)
Sc (0.500, 0.500, 0.500)
Te (0.245, 0.245, 0.245)
Te (0.246, 0.743, 0.743)
Te (0.257, 0.257, 0.754)
Te (0.257, 0.754, 0.257)
Te (0.743, 0.246, 0.743)
Te (0.743, 0.743, 0.246)
Te (0.754, 0.257, 0.257)
Te (0.755, 0.755, 0.755)



[2]
This record from Alexandria describes crystalline Pm7DyHo3 at its relaxed geometry. The functional is PBE.

Energy relative to the elements: 184 meV/atom
DOS at the Fermi energy: 17.0 states/eV/cell
Symmetry: P3m1, No. 156

Lattice parameters (Å, degrees): 7.163 7.163 8.661 90.00 90.00 120.00
Atoms (fractional coordinates):
Pm (0.000, 0.000, 0.000)
Pm (0.166, 0.332, 0.668)
Pm (0.166, 0.834, 0.668)
Pm (0.501, 0.002, 0.013)
Pm (0.501, 0.499, 0.013)
Pm (0.668, 0.834, 0.668)
Pm (0.998, 0.499, 0.013)
Dy (0.667, 0.333, 0.679)
Ho (0.334, 0.167, 0.342)
Ho (0.833, 0.167, 0.342)
Ho (0.833, 0.666, 0.342)



[3]
This record from Alexandria describes crystalline Na15CdHg4 at its relaxed geometry. The functional is PBE.

Energy relative to the elements: -124 meV/atom
DOS at the Fermi energy: 3.4 states/eV/cell
Symmetry: P4/mmm, No. 123

Lattice parameters (Å, degrees): 4.986 4.986 23.345 90.00 90.00 90.00
Atoms (fractional coordinates):
Na (0.000, 0.000, 0.000)
Na (0.000, 0.000, 0.201)
Na (0.000, 0.000, 0.400)
Na (0.000, 0.000, 0.600)
Na (0.000, 0.000, 0.799)
Na (0.000, 0.500, 0.102)
Na (0.000, 0.500, 0.301)
Na (0.000, 0.500, 0.500)
Na (0.000, 0.500, 0.699)
Na (0.000, 0.500, 0.898)
Na (0.500, 0.000, 0.102)
Na (0.500, 0.000, 0.301)
Na (0.500, 0.000, 0.500)
Na (0.500, 0.000, 0.699)
Na (0.500, 0.000, 0.898)
Cd (0.500, 0.500, 0.000)
Hg (0.500, 0.500, 0.201)
Hg (0.500, 0.500, 0.400)
Hg (0.500, 0.500, 0.600)
Hg (0.500, 0.500, 0.799)



[4]
This record from Alexandria describes crystalline Er8Ge3Te4Se at its relaxed geometry. The functional is PBE.

ΔE_f (raw): -1.280 eV per atom
DOS at the Fermi energy: 3.4 states/eV/cell
Symmetry: R-3m, No. 166

Lattice parameters (Å, degrees): 8.513 8.513 8.513 59.05 59.05 59.05
Atoms (fractional coordinates):
Er (0.231, 0.744, 0.744)
Er (0.240, 0.240, 0.240)
Er (0.256, 0.256, 0.769)
Er (0.256, 0.769, 0.256)
Er (0.744, 0.231, 0.744)
Er (0.744, 0.744, 0.231)
Er (0.760, 0.760, 0.760)
Er (0.769, 0.256, 0.256)
Ge (0.000, 0.000, 0.500)
Ge (0.000, 0.500, 0.000)
Ge (0.500, 0.000, 0.000)
Te (0.000, 0.000, 0.000)
Te (0.000, 0.500, 0.500)
Te (0.500, 0.000, 0.500)
Te (0.500, 0.500, 0.000)
Se (0.500, 0.500, 0.500)



[5]
This record from Alexandria describes crystalline Pu3SbH3 at its relaxed geometry. The functional is PBE.

Energy above the most stable polymorph in this dataset: 0.163 eV per atom
DOS at the Fermi energy: 53.4 states/eV/cell
Symmetry: R-3, No. 148

Lattice parameters (Å, degrees): 7.927 7.927 7.927 50.41 50.41 50.41
Atoms (fractional coordinates):
Pu (0.099, 0.408, 0.787)
Pu (0.213, 0.901, 0.592)
Pu (0.408, 0.787, 0.099)
Pu (0.592, 0.213, 0.901)
Pu (0.787, 0.099, 0.408)
Pu (0.901, 0.592, 0.213)
Sb (0.333, 0.333, 0.333)
Sb (0.667, 0.667, 0.667)
H (0.126, 0.767, 0.483)
H (0.233, 0.517, 0.874)
H (0.483, 0.126, 0.767)
H (0.517, 0.874, 0.233)
H (0.767, 0.483, 0.126)
H (0.874, 0.233, 0.517)



[6]
This record from Alexandria describes crystalline PrEuAg at its relaxed geometry. The functional is PBE.

Energy above the most stable polymorph in this dataset: 0.160 eV per atom
Energy relative to the elements: 20 meV/atom
DOS at the Fermi energy: 17.8 states/eV/cell
Symmetry: F-43m, No. 216

Lattice parameters (Å, degrees): 7.441 7.441 7.441 90.00 90.00 90.00
Atoms (fractional coordinates):
Pr (0.000, 0.000, 0.000)
Pr (0.000, 0.500, 0.500)
Pr (0.500, 0.000, 0.500)
Pr (0.500, 0.500, 0.000)
Eu (0.000, 0.000, 0.500)
Eu (0.000, 0.500, 0.000)
Eu (0.500, 0.000, 0.000)
Eu (0.500, 0.500, 0.500)
Ag (0.250, 0.250, 0.750)
Ag (0.250, 0.750, 0.250)
Ag (0.750, 0.250, 0.250)
Ag (0.750, 0.750, 0.750)



[7]
This record from Alexandria describes crystalline SmPaIrPt at its relaxed geometry. The functional is PBE.

Energy above the most stable polymorph in this dataset: 0.000 eV per atom
Energy relative to the elements: -995 meV/atom
DOS at the Fermi energy: 6.9 states/eV/cell
Symmetry: Amm2, No. 38

Lattice parameters (Å, degrees): 4.211 3.760 11.440 90.00 90.00 90.00
Atoms (fractional coordinates):
Sm (0.000, 0.000, 0.000)
Sm (0.000, 0.500, 0.500)
Pa (0.500, 0.000, 0.273)
Pa (0.500, 0.500, 0.773)
Ir (0.000, 0.000, 0.745)
Ir (0.000, 0.500, 0.245)
Pt (0.500, 0.000, 0.561)
Pt (0.500, 0.500, 0.061)



[8]
This record from Alexandria describes crystalline Sc2TlCrB at its relaxed geometry. The functional is PBE.

Energy relative to the elements: -193 meV/atom
DOS at the Fermi energy: 2.1 states/eV/cell
Symmetry: P4/mmm, No. 123

Lattice parameters (Å, degrees): 4.699 4.699 4.117 90.00 90.00 90.00
Atoms (fractional coordinates):
Sc (0.000, 0.500, 0.000)
Sc (0.500, 0.000, 0.000)
Tl (0.000, 0.000, 0.500)
Cr (0.500, 0.500, 0.500)
B (0.500, 0.500, 0.000)



[9]
This record from Alexandria describes crystalline LiCoSbRh at its relaxed geometry. The functional is PBE.

ΔE_f (raw): -0.342 eV per atom
DOS at the Fermi energy: 6.9 states/eV/cell
Symmetry: F-43m, No. 216

Lattice parameters (Å, degrees): 6.062 6.062 6.062 90.00 90.00 90.00
Atoms (fractional coordinates):
Li (0.000, 0.000, 0.000)
Li (0.000, 0.500, 0.500)
Li (0.500, 0.000, 0.500)
Li (0.500, 0.500, 0.000)
Co (0.250, 0.250, 0.250)
Co (0.250, 0.750, 0.750)
Co (0.750, 0.250, 0.750)
Co (0.750, 0.750, 0.250)
Sb (0.000, 0.000, 0.500)
Sb (0.000, 0.500, 0.000)
Sb (0.500, 0.000, 0.000)
Sb (0.500, 0.500, 0.500)
Rh (0.250, 0.250, 0.750)
Rh (0.250, 0.750, 0.250)
Rh (0.750, 0.250, 0.250)
Rh (0.750, 0.750, 0.750)



[10]
This record from Alexandria describes crystalline LiCu4Hg at its relaxed geometry. The functional is PBE.

Energy relative to the elements: -33 meV/atom
DOS at the Fermi energy: 2.6 states/eV/cell
Symmetry: F-43m, No. 216

Lattice parameters (Å, degrees): 4.962 4.962 4.962 60.00 60.00 60.00
Atoms (fractional coordinates):
Li (0.000, 0.000, 0.000)
Cu (0.375, 0.375, 0.375)
Cu (0.375, 0.375, 0.876)
Cu (0.375, 0.876, 0.375)
Cu (0.876, 0.375, 0.375)
Hg (0.750, 0.750, 0.750)



[11]
This record from Alexandria describes crystalline Dy2Tm3Pd2 at its relaxed geometry. The functional is PBE.

Energy above the most stable polymorph in this dataset: 0.000 eV per atom
Energy relative to the elements: -548 meV/atom
DOS at the Fermi energy: 16.4 states/eV/cell
Symmetry: C2/m, No. 12

Lattice parameters (Å, degrees): 12.286 3.675 9.007 90.00 117.06 90.00
Atoms (fractional coordinates):
Dy (0.157, 0.000, 0.313)
Dy (0.343, 0.500, 0.687)
Dy (0.657, 0.500, 0.313)
Dy (0.843, 0.000, 0.687)
Tm (0.000, 0.500, 0.500)
Tm (0.113, 0.500, 0.940)
Tm (0.387, 0.000, 0.060)
Tm (0.500, 0.000, 0.500)
Tm (0.613, 0.000, 0.940)
Tm (0.887, 0.500, 0.060)
Pd (0.170, 0.000, 0.737)
Pd (0.330, 0.500, 0.263)
Pd (0.670, 0.500, 0.737)
Pd (0.830, 0.000, 0.263)



[12]
This record from Alexandria describes crystalline Tm5ZnNi at its relaxed geometry. The functional is PBE.

Energy relative to the elements: -80 meV/atom
DOS at the Fermi energy: 13.4 states/eV/cell
Symmetry: C2/c, No. 15

Lattice parameters (Å, degrees): 5.671 5.671 11.761 101.91 101.91 75.92
Atoms (fractional coordinates):
Tm (0.008, 0.992, 0.750)
Tm (0.083, 0.418, 0.126)
Tm (0.209, 0.540, 0.425)
Tm (0.418, 0.083, 0.626)
Tm (0.460, 0.791, 0.075)
Tm (0.540, 0.209, 0.925)
Tm (0.582, 0.917, 0.374)
Tm (0.791, 0.460, 0.575)
Tm (0.917, 0.582, 0.874)
Tm (0.992, 0.008, 0.250)
Zn (0.418, 0.582, 0.750)
Zn (0.582, 0.418, 0.250)
Ni (0.000, 0.000, 0.000)
Ni (0.000, 0.000, 0.500)